(1)
Computed, not measured: a relaxed structure of AcNdTm2Hg4 at the GGA-PBE level of DFT.

Geometry as CIF:
```
data_AcNdTm2Hg4
_chemical_formula_sum 'Ac3 Nd3 Tm6 Hg12'
_space_group_name_H-M_alt 'R -3 m'
_space_group_IT_number 166
_space_group_name_Hall '-R 3 2"'
_cell_length_a 5.3704
_cell_length_b 5.3704
_cell_length_c 26.9619
_cell_angle_alpha 90.00
_cell_angle_beta 90.00
_cell_angle_gamma 120.00
loop_
_atom_site_label
_atom_site_type_symbol
_atom_site_fract_x
_atom_site_fract_y
_atom_site_fract_z
Ac1 Ac 0.0000 0.0000 0.0000
Nd1 Nd 0.0000 0.0000 0.5000
Tm1 Tm 0.0000 0.0000 0.2466
Hg1 Hg 0.0000 0.0000 0.1272
Hg2 Hg 0.0000 0.0000 0.3812
```

Properties
Calculated formation energy, eV/f.u.: -3.48
Size of the total moment, μB/f.u.: 0.0
Energy, eV for the cell shown: -67.52

---

(2)
Computed, not measured: a relaxed structure of Hf2Cr2S at the GGA-PBE level of DFT.

Geometry as CIF:
```
data_Hf2Cr2S
_chemical_formula_sum 'Hf4 Cr4 S2'
_space_group_name_H-M_alt 'P 4/m b m'
_space_group_IT_number 127
_space_group_name_Hall '-P 4 2ab'
_cell_length_a 5.8679
_cell_length_b 5.8679
_cell_length_c 4.6365
_cell_angle_alpha 90.00
_cell_angle_beta 90.00
_cell_angle_gamma 90.00
loop_
_atom_site_label
_atom_site_type_symbol
_atom_site_fract_x
_atom_site_fract_y
_atom_site_fract_z
Hf1 Hf 0.1751 0.3249 0.0000
Cr1 Cr 0.1294 0.6294 0.5000
S1 S 0.0000 0.0000 0.5000
```

Properties
Size of the total moment, μB/f.u.: 0.0
Energy, eV for the cell shown: -87.14

---

(3)
Computed, not measured: a relaxed structure of Sc4AlRh at the GGA-PBE level of DFT.

Geometry as CIF:
```
data_Sc4AlRh
_chemical_formula_sum 'Sc16 Al4 Rh4'
_space_group_name_H-M_alt 'F -4 3 m'
_space_group_IT_number 216
_space_group_name_Hall 'F -4 2 3'
_cell_length_a 7.8457
_cell_length_b 7.8457
_cell_length_c 7.8457
_cell_angle_alpha 90.00
_cell_angle_beta 90.00
_cell_angle_gamma 90.00
loop_
_atom_site_label
_atom_site_type_symbol
_atom_site_fract_x
_atom_site_fract_y
_atom_site_fract_z
Sc1 Sc 0.1243 0.1243 0.3757
Al1 Al 0.0000 0.0000 0.0000
Rh1 Rh 0.2500 0.2500 0.7500
```

Properties
Calculated formation energy, eV/f.u.: 1.14
Size of the total moment, μB/f.u.: 0.0
Energy, eV for the cell shown: -141.13

---

(4)
Computed, not measured: a relaxed structure of HfCuP3 at the GGA-PBE level of DFT.

Geometry as CIF:
```
data_HfCuP3
_chemical_formula_sum 'Hf1 Cu1 P3'
_space_group_name_H-M_alt 'P m -3 m'
_space_group_IT_number 221
_space_group_name_Hall '-P 4 2 3'
_cell_length_a 4.4419
_cell_length_b 4.4419
_cell_length_c 4.4419
_cell_angle_alpha 90.00
_cell_angle_beta 90.00
_cell_angle_gamma 90.00
loop_
_atom_site_label
_atom_site_type_symbol
_atom_site_fract_x
_atom_site_fract_y
_atom_site_fract_z
Hf1 Hf 0.0000 0.0000 0.0000
Cu1 Cu 0.5000 0.5000 0.5000
P1 P 0.0000 0.5000 0.5000
```

Properties
Calculated formation energy, eV/f.u.: 2.40
Size of the total moment, μB/f.u.: 0.0
Energy, eV for the cell shown: -27.88

---

(5)
Computed, not measured: a relaxed structure of MgIn2Si at the GGA-PBE level of DFT.

Geometry as CIF:
```
data_MgIn2Si
_chemical_formula_sum 'Mg4 In8 Si4'
_space_group_name_H-M_alt 'I -4 2 d'
_space_group_IT_number 122
_space_group_name_Hall 'I -4 2bw'
_cell_length_a 8.6092
_cell_length_b 8.6092
_cell_length_c 5.3778
_cell_angle_alpha 90.00
_cell_angle_beta 90.00
_cell_angle_gamma 90.00
loop_
_atom_site_label
_atom_site_type_symbol
_atom_site_fract_x
_atom_site_fract_y
_atom_site_fract_z
Mg1 Mg 0.0000 0.0000 0.0000
In1 In 0.1785 0.7500 0.6250
Si1 Si 0.0000 0.0000 0.5000
```

Properties
Size of the total moment, μB/f.u.: 0.0
Energy, eV for the cell shown: -47.63

---

(6)
Computed, not measured: a relaxed structure of CuSn2AsPb at the GGA-PBE level of DFT.

Geometry as CIF:
```
data_CuSn2AsPb
_chemical_formula_sum 'Cu1 Sn2 As1 Pb1'
_space_group_name_H-M_alt 'P 4/m m m'
_space_group_IT_number 123
_space_group_name_Hall '-P 4 2'
_cell_length_a 5.6686
_cell_length_b 5.6686
_cell_length_c 4.3845
_cell_angle_alpha 90.00
_cell_angle_beta 90.00
_cell_angle_gamma 90.00
loop_
_atom_site_label
_atom_site_type_symbol
_atom_site_fract_x
_atom_site_fract_y
_atom_site_fract_z
Cu1 Cu 0.0000 0.0000 0.0000
Sn1 Sn 0.0000 0.5000 0.5000
As1 As 0.0000 0.0000 0.5000
Pb1 Pb 0.5000 0.5000 0.0000
```

Properties
Calculated formation energy, eV/f.u.: 1.48
Size of the total moment, μB/f.u.: 0.0
Energy, eV for the cell shown: -18.98

---

(7)
Computed, not measured: a relaxed structure of SrFeSe2N at the GGA-PBE level of DFT.

Geometry as CIF:
```
data_SrFeSe2N
_chemical_formula_sum 'Sr1 Fe1 Se2 N1'
_space_group_name_H-M_alt 'P 4/m m m'
_space_group_IT_number 123
_space_group_name_Hall '-P 4 2'
_cell_length_a 5.1922
_cell_length_b 5.1922
_cell_length_c 3.5249
_cell_angle_alpha 90.00
_cell_angle_beta 90.00
_cell_angle_gamma 90.00
loop_
_atom_site_label
_atom_site_type_symbol
_atom_site_fract_x
_atom_site_fract_y
_atom_site_fract_z
Sr1 Sr 0.0000 0.0000 0.0000
Fe1 Fe 0.5000 0.5000 0.5000
Se1 Se 0.0000 0.5000 0.5000
N1 N 0.5000 0.5000 0.0000
```

Properties
Size of the total moment, μB/f.u.: 0.7
Energy, eV for the cell shown: -27.81

---

(8)
Computed, not measured: a relaxed structure of Ac2PCl2 at the GGA-PBE level of DFT.

Geometry as CIF:
```
data_Ac2PCl2
_chemical_formula_sum 'Ac6 P3 Cl6'
_space_group_name_H-M_alt 'R -3 m'
_space_group_IT_number 166
_space_group_name_Hall '-R 3 2"'
_cell_length_a 4.3941
_cell_length_b 4.3941
_cell_length_c 38.7444
_cell_angle_alpha 90.00
_cell_angle_beta 90.00
_cell_angle_gamma 120.00
loop_
_atom_site_label
_atom_site_type_symbol
_atom_site_fract_x
_atom_site_fract_y
_atom_site_fract_z
Ac1 Ac 0.0000 0.0000 0.1227
P1 P 0.0000 0.0000 0.5000
Cl1 Cl 0.0000 0.0000 0.2549
```

Properties
Size of the total moment, μB/f.u.: 0.0
Energy, eV for the cell shown: -81.14

---

(9)
Computed, not measured: a relaxed structure of PrHoMgGa at the GGA-PBE level of DFT.

Geometry as CIF:
```
data_PrHoMgGa
_chemical_formula_sum 'Pr4 Ho4 Mg4 Ga4'
_space_group_name_H-M_alt 'F -4 3 m'
_space_group_IT_number 216
_space_group_name_Hall 'F -4 2 3'
_cell_length_a 7.4362
_cell_length_b 7.4362
_cell_length_c 7.4362
_cell_angle_alpha 90.00
_cell_angle_beta 90.00
_cell_angle_gamma 90.00
loop_
_atom_site_label
_atom_site_type_symbol
_atom_site_fract_x
_atom_site_fract_y
_atom_site_fract_z
Pr1 Pr 0.0000 0.0000 0.0000
Ho1 Ho 0.0000 0.0000 0.5000
Mg1 Mg 0.2500 0.2500 0.7500
Ga1 Ga 0.2500 0.2500 0.2500
```

Properties
Calculated formation energy, eV/f.u.: -1.31
Size of the total moment, μB/f.u.: 0.0
Energy, eV for the cell shown: -61.17

---

(10)
Computed, not measured: a relaxed structure of Pr6Ga2SeI3 at the GGA-PBE level of DFT.

Geometry as CIF:
```
data_Pr6Ga2SeI3
_chemical_formula_sum 'Pr12 Ga4 Se2 I6'
_space_group_name_H-M_alt 'C 1 2/m 1'
_space_group_IT_number 12
_space_group_name_Hall '-C 2y'
_cell_length_a 7.5876
_cell_length_b 13.1359
_cell_length_c 8.1414
_cell_angle_alpha 90.00
_cell_angle_beta 108.06
_cell_angle_gamma 90.00
loop_
_atom_site_label
_atom_site_type_symbol
_atom_site_fract_x
_atom_site_fract_y
_atom_site_fract_z
Pr1 Pr 0.2296 0.0000 0.2031
Pr2 Pr 0.2369 0.3315 0.2040
Ga1 Ga 0.0000 0.1670 0.0000
Se1 Se 0.0000 0.5000 0.0000
I1 I 0.0000 0.0000 0.5000
I2 I 0.0000 0.3329 0.5000
```

Properties
Size of the total moment, μB/f.u.: 0.0
Energy, eV for the cell shown: -110.20

---

(11)
Computed, not measured: a relaxed structure of AlSiSb2 at the GGA-PBE level of DFT.

Geometry as CIF:
```
data_AlSiSb2
_chemical_formula_sum 'Al1 Si1 Sb2'
_space_group_name_H-M_alt 'P m m m'
_space_group_IT_number 47
_space_group_name_Hall '-P 2 2'
_cell_length_a 3.7097
_cell_length_b 4.6736
_cell_length_c 5.1793
_cell_angle_alpha 90.00
_cell_angle_beta 90.00
_cell_angle_gamma 90.00
loop_
_atom_site_label
_atom_site_type_symbol
_atom_site_fract_x
_atom_site_fract_y
_atom_site_fract_z
Al1 Al 0.0000 0.0000 0.0000
Si1 Si 0.5000 0.0000 0.5000
Sb1 Sb 0.0000 0.5000 0.5000
Sb2 Sb 0.5000 0.5000 0.0000
```

Properties
Size of the total moment, μB/f.u.: 0.0
Energy, eV for the cell shown: -15.75

---

(12)
Computed, not measured: a relaxed structure of Mg6Ga2Pt at the GGA-PBE level of DFT.

Geometry as CIF:
```
data_Mg6Ga2Pt
_chemical_formula_sum 'Mg6 Ga2 Pt1'
_space_group_name_H-M_alt 'P -6 2 m'
_space_group_IT_number 189
_space_group_name_Hall 'P -6 -2'
_cell_length_a 7.6475
_cell_length_b 7.6475
_cell_length_c 3.5173
_cell_angle_alpha 90.00
_cell_angle_beta 90.00
_cell_angle_gamma 120.00
loop_
_atom_site_label
_atom_site_type_symbol
_atom_site_fract_x
_atom_site_fract_y
_atom_site_fract_z
Mg1 Mg 0.0000 0.3794 0.0000
Mg2 Mg 0.0000 0.7373 0.5000
Ga1 Ga 0.3333 0.6667 0.5000
Pt1 Pt 0.0000 0.0000 0.0000
```

Properties
Calculated formation energy, eV/f.u.: -3.12
Size of the total moment, μB/f.u.: 0.0
Energy, eV for the cell shown: -24.78